Computed, not measured: crystalline SrMg2MnCd at its relaxed geometry at the PBE level of DFT.

a b c (Å): 6.401 6.401 5.921
angles (deg): 90.00 90.00 90.00
Sites, in units of the cell vectors:
1 Sr 0.000 0.000 0.000
2 Mg 0.000 0.500 0.000
3 Mg 0.500 0.000 0.000
4 Mn 0.000 0.000 0.500
5 Cd 0.500 0.500 0.500

Density of states at the Fermi level ... 5.85 states/eV/f.u.
Electronic total energy ... -1.737 eV/atom
Magnetization ... 3.79 μB/cell
Space-group type ... P4/mmm
Calculated formation energy ... 1.254 eV per atom